(1)
The following is a PBE calculation of La2CoAgBi after structural relaxation, from Alexandria via LeMat-Bulk.

Unit cell a=5.228 b=5.228 c=4.969 alpha=90.00 beta=90.00 gamma=90.00
Positions (direct):
La1 0.000 0.500 0.000
Co1 0.000 0.000 0.000
Bi1 0.500 0.500 0.500
La2 0.500 0.000 0.000
Ag1 0.000 0.000 0.500

DFT total energy, eV per atom: -5.070
Magnetization, μB per cell: 0.000
DFT formation energy, eV per atom: -0.33

(2)
The following is a PBE calculation of Co2AgBiN after structural relaxation, from Alexandria via LeMat-Bulk.

Unit cell a=4.663 b=5.366 c=4.663 alpha=90.00 beta=90.00 gamma=90.00
Last column: magnetic moment on the atom in μB.
Positions (direct):
Ag1 0.000 0.000 0.000  0.01
Co1 0.000 0.000 0.500  2.24
Bi1 0.000 0.500 0.000  0.02
Co2 0.500 0.000 0.000  1.75
N1 0.500 0.500 0.500  -0.09

DFT total energy, eV per atom: -3.516
Magnetization, μB per cell: 3.905
Formation energy from raw total energies, eV per atom: 2.338

(3)
The following is a PBE calculation of CoNi2AgBi after structural relaxation, from Alexandria via LeMat-Bulk.

Unit cell a=4.775 b=4.836 c=4.775 alpha=90.00 beta=90.00 gamma=90.00
Last column: magnetic moment on the atom in μB.
Positions (direct):
Co1 0.000 0.500 0.000  1.60
Ni1 0.500 0.000 0.000  -0.04
Ag1 0.500 0.500 0.500  -0.01
Bi1 0.000 0.000 0.000  -0.02
Ni2 0.000 0.000 0.500  -0.06

DFT total energy, eV per atom: -3.838
Magnetization, μB per cell: 1.454
DFT formation energy, eV per atom: 1.24